[1]
# TlCdRh2 (GGA-PBE, optimized geometry)
# **DOS(E_F)**: 7.424 states/eV per cell
# **Density**: 12.240 g cm⁻³
# **DFT formation energy**: 0.236 eV per atom
# **Volume**: 70.9 Å³/f.u.
# **Size of the total moment**: 0.2 μB/f.u.
# **SG**: F-43m, No. 216
data_TlCdRh2
_chemical_formula_sum 'Tl1 Cd1 Rh2'
_symmetry_space_group_name_H-M 'P 1'
_symmetry_Int_Tables_number 1
_cell_length_a 4.646
_cell_length_b 4.646
_cell_length_c 4.646
_cell_angle_alpha 60.00
_cell_angle_beta 60.00
_cell_angle_gamma 60.00
loop_
_symmetry_equiv_pos_as_xyz
'x,y,z'
loop_
_atom_site_label
_atom_site_type_symbol
_atom_site_fract_x
_atom_site_fract_y
_atom_site_fract_z
_atom_site_occupancy
Tl1 Tl 0.000 0.000 0.000 1
Cd1 Cd 0.750 0.750 0.750 1
Rh1 Rh 0.250 0.250 0.250 1
Rh2 Rh 0.500 0.500 0.500 1

***

[2]
# TcHgH2W (GGA-PBE, optimized geometry)
# **DOS(E_F)**: 5.065 states/eV per cell
# **Density**: 11.198 g cm⁻³
# **Volume**: 71.8 Å³/f.u.
# **Size of the total moment**: 0.3 μB/f.u.
# **SG**: P4/mmm, No. 123
# **DFT total energy**: -5.02 eV per atom
data_TcHgH2W
_chemical_formula_sum 'Tc1 Hg1 H2 W1'
_symmetry_space_group_name_H-M 'P 1'
_symmetry_Int_Tables_number 1
_cell_length_a 3.819
_cell_length_b 3.819
_cell_length_c 4.926
_cell_angle_alpha 90.00
_cell_angle_beta 90.00
_cell_angle_gamma 90.00
loop_
_symmetry_equiv_pos_as_xyz
'x,y,z'
loop_
_atom_site_label
_atom_site_type_symbol
_atom_site_fract_x
_atom_site_fract_y
_atom_site_fract_z
_atom_site_occupancy
Tc1 Tc 0.000 0.000 0.000 1
Hg1 Hg 0.500 0.500 0.500 1
H1 H 0.000 0.500 0.000 1
H2 H 0.500 0.000 0.000 1
W1 W 0.000 0.000 0.500 1